VASP calculation (PBE) on a geometry-optimized YBeMo2 structure.

abc: 4.2757 4.2757 14.1867
angles: 90.00 90.00 120.00
Last column: nearest neighbours and their distance in Å.
Fractional positions:
Y (0.0000, 0.0000, 0.0000)  4 Be 2.82-3.12, 4 Mo 2.98-3.03
Y (0.3333, 0.6667, 0.6667)  4 Be 2.82-3.12, 4 Mo 2.98-3.03
Y (0.6667, 0.3333, 0.3333)  4 Be 2.82-3.12, 4 Mo 2.98-3.03
Be (0.0000, 0.0000, 0.8012)  6 Mo 2.49-2.69
Be (0.3333, 0.6667, 0.4679)  6 Mo 2.49-2.69
Be (0.6667, 0.3333, 0.1345)  6 Mo 2.49-2.69
Mo (0.0000, 0.0000, 0.2100)  3 Mo 2.57, 3 Be 2.69
Mo (0.0000, 0.0000, 0.4926)  3 Be 2.49, 3 Mo 2.57
Mo (0.3333, 0.6667, 0.1593)  3 Be 2.49, 3 Mo 2.57
Mo (0.3333, 0.6667, 0.8767)  3 Mo 2.57, 3 Be 2.69
Mo (0.6667, 0.3333, 0.5434)  3 Mo 2.57, 3 Be 2.69
Mo (0.6667, 0.3333, 0.8260)  3 Be 2.49, 3 Mo 2.57

Values from the calculation:
Calculated total energy (eV per atom): -7.742
Space-group type: R3m, No. 160
Volume (Å³/f.u.): 75
Crystal system: trigonal

VASP calculation (PBE) on a geometry-optimized ZrAs2Ru structure.

abc: 6.5466 6.5466 6.5466
angles: 90.00 90.00 90.00
Last column: nearest neighbours and their distance in Å.
Fractional positions:
Zr (0.0000, 0.0000, 0.0000)  4 As 2.83, 4 Ru 2.83
Zr (0.0000, 0.5000, 0.5000)  4 As 2.83, 4 Ru 2.83
Zr (0.5000, 0.0000, 0.5000)  4 As 2.83, 4 Ru 2.83
Zr (0.5000, 0.5000, 0.0000)  4 As 2.83, 4 Ru 2.83
As (0.0000, 0.0000, 0.5000)  4 As 2.83, 4 Ru 2.83
As (0.0000, 0.5000, 0.0000)  4 As 2.83, 4 Ru 2.83
As (0.2500, 0.2500, 0.7500)  4 Zr 2.83, 4 As 2.83
As (0.2500, 0.7500, 0.2500)  4 Zr 2.83, 4 As 2.83
As (0.5000, 0.0000, 0.0000)  4 As 2.83, 4 Ru 2.83
As (0.5000, 0.5000, 0.5000)  4 As 2.83, 4 Ru 2.83
As (0.7500, 0.2500, 0.2500)  4 Zr 2.83, 4 As 2.83
As (0.7500, 0.7500, 0.7500)  4 Zr 2.83, 4 As 2.83
Ru (0.2500, 0.2500, 0.2500)  4 Zr 2.83, 4 As 2.83
Ru (0.2500, 0.7500, 0.7500)  4 Zr 2.83, 4 As 2.83
Ru (0.7500, 0.2500, 0.7500)  4 Zr 2.83, 4 As 2.83
Ru (0.7500, 0.7500, 0.2500)  4 Zr 2.83, 4 As 2.83

Values from the calculation:
Calculated total energy (eV per atom): -6.889
Space-group type: F-43m, No. 216
Energy relative to the lowest polymorph listed for this composition (meV per atom): 497
Volume (Å³/f.u.): 70
Crystal system: cubic

VASP calculation (PBE) on a geometry-optimized Tb7ThTl4 structure.

abc: 7.9532 7.9532 9.7608
angles: 118.54 118.54 43.59
Last column: nearest neighbours and their distance in Å.
Fractional positions:
Tb (0.0000, 0.0000, 0.0000)  2 Th 2.95, 4 Tl 3.03-3.22
Tb (0.2408, 0.2408, 0.6927)  4 Tl 3.00-3.19
Tb (0.3007, 0.3007, 0.1180)  3 Tl 3.31-3.59, 5 Tb 3.44-3.70, 1 Th 3.67
Tb (0.4338, 0.4338, 0.5998)  3 Tl 3.18-3.27, 3 Tb 3.40-3.44, 1 Th 3.50
Tb (0.5662, 0.5662, 0.4002)  3 Tl 3.18-3.27, 3 Tb 3.40-3.44, 1 Th 3.50
Tb (0.6993, 0.6993, 0.8820)  3 Tl 3.31-3.59, 5 Tb 3.44-3.70, 1 Th 3.67
Tb (0.7592, 0.7592, 0.3073)  4 Tl 3.00-3.19
Th (0.5000, 0.5000, 0.0000)  2 Tb 2.95
Tl (0.0437, 0.0437, 0.7090)  4 Tb 3.00-3.27, 1 Tl 3.22
Tl (0.1887, 0.1887, 0.3372)  6 Tb 3.03-3.31, 1 Tl 3.22
Tl (0.8113, 0.8113, 0.6629)  6 Tb 3.03-3.31, 1 Tl 3.22
Tl (0.9563, 0.9563, 0.2910)  4 Tb 3.00-3.27, 1 Tl 3.22

Values from the calculation:
Calculated total energy (eV per atom): -4.106
Space-group type: C2/m, No. 12
Volume (Å³/f.u.): 365
Crystal system: monoclinic

VASP calculation (PBE) on a geometry-optimized Dy6Ge2SbTe3 structure.

abc: 9.6519 9.6519 8.6775
angles: 103.42 103.42 25.65
Last column: nearest neighbours and their distance in Å.
Fractional positions:
Dy (0.0108, 0.0108, 0.2505)  1 Ge 2.87, 2 Sb 3.02, 3 Te 3.09-3.18
Dy (0.3261, 0.3261, 0.4328)  3 Ge 2.90-2.92, 3 Te 3.19
Dy (0.3325, 0.3325, 0.8910)  2 Ge 2.90, 1 Sb 3.07, 3 Te 3.10-3.20
Dy (0.6675, 0.6675, 0.1090)  2 Ge 2.90, 1 Sb 3.07, 3 Te 3.10-3.20
Dy (0.6739, 0.6739, 0.5672)  3 Ge 2.90-2.92, 3 Te 3.19
Dy (0.9892, 0.9892, 0.7495)  1 Ge 2.87, 2 Sb 3.02, 3 Te 3.09-3.18
Ge (0.1678, 0.1678, 0.3352)  6 Dy 2.87-2.92
Ge (0.8322, 0.8322, 0.6648)  6 Dy 2.87-2.92
Sb (0.5000, 0.5000, 0.0000)  6 Dy 3.02-3.07
Te (0.1633, 0.1633, 0.8337)  6 Dy 3.10-3.20
Te (0.5000, 0.5000, 0.5000)  6 Dy 3.09-3.19
Te (0.8367, 0.8367, 0.1663)  6 Dy 3.10-3.20

Values from the calculation:
Calculated total energy (eV per atom): -5.427
Space-group type: C2/m, No. 12
Volume (Å³/f.u.): 340
Uncorrected formation energy (eV per atom): -1.227
Crystal system: monoclinic

VASP calculation (PBE) on a geometry-optimized CsRbBa2Tl structure.

abc: 6.7226 6.7226 6.7630
angles: 90.00 90.00 90.00
Last column: nearest neighbours and their distance in Å.
Fractional positions:
Cs (0.0000, 0.0000, 0.0000)  4 Ba 3.36, 2 Rb 3.38
Rb (0.0000, 0.0000, 0.5000)  2 Cs 3.38
Ba (0.0000, 0.5000, 0.0000)  2 Cs 3.36
Ba (0.5000, 0.0000, 0.0000)  2 Cs 3.36
Tl (0.5000, 0.5000, 0.5000)  4 Rb 4.75, 8 Ba 4.77

Values from the calculation:
Calculated total energy (eV per atom): -0.919
Space-group type: P4/mmm, No. 123
Energy relative to the lowest polymorph listed for this composition (meV per atom): 692
Volume (Å³/f.u.): 306
Crystal system: tetragonal

VASP calculation (PBE) on a geometry-optimized ScReB2 structure.

abc: 5.6571 5.6571 5.6571
angles: 90.00 90.00 90.00
Last column: nearest neighbours and their distance in Å.
Fractional positions:
Sc (0.0000, 0.0000, 0.0000)  8 B 2.45
Sc (0.0000, 0.5000, 0.5000)  8 B 2.45
Sc (0.5000, 0.0000, 0.5000)  8 B 2.45
Sc (0.5000, 0.5000, 0.0000)  8 B 2.45
Re (0.0000, 0.0000, 0.5000)  8 B 2.45
Re (0.0000, 0.5000, 0.0000)  8 B 2.45
Re (0.5000, 0.0000, 0.0000)  8 B 2.45
Re (0.5000, 0.5000, 0.5000)  8 B 2.45
B (0.2500, 0.2500, 0.2500)  4 Sc 2.45, 4 Re 2.45
B (0.2500, 0.2500, 0.7500)  4 Re 2.45, 4 Sc 2.45
B (0.2500, 0.7500, 0.2500)  4 Re 2.45, 4 Sc 2.45
B (0.2500, 0.7500, 0.7500)  4 Re 2.45, 4 Sc 2.45
B (0.7500, 0.2500, 0.2500)  4 Re 2.45, 4 Sc 2.45
B (0.7500, 0.2500, 0.7500)  4 Re 2.45, 4 Sc 2.45
B (0.7500, 0.7500, 0.2500)  4 Re 2.45, 4 Sc 2.45
B (0.7500, 0.7500, 0.7500)  4 Re 2.45, 4 Sc 2.45

Values from the calculation:
Calculated total energy (eV per atom): -7.865
Space-group type: Fm-3m, No. 225
Energy relative to the lowest polymorph listed for this composition (meV per atom): 650
Volume (Å³/f.u.): 45
Crystal system: cubic

VASP calculation (PBE) on a geometry-optimized V6CrW2 structure.

abc: 5.2627 5.2627 4.7996
angles: 100.89 100.89 94.63
Last column: nearest neighbours and their distance in Å.
Fractional positions:
V (0.1630, 0.5022, 0.3321)  5 V 2.46-2.62, 2 W 2.72-2.75
V (0.1651, 0.8349, 0.0000)  5 V 2.46-2.58, 2 Cr 2.72
V (0.4978, 0.8370, 0.6679)  5 V 2.46-2.62, 2 W 2.72-2.75
V (0.5022, 0.1630, 0.3321)  5 V 2.46-2.62, 2 W 2.72-2.75
V (0.8349, 0.1651, 0.0000)  5 V 2.46-2.58, 2 Cr 2.72
V (0.8370, 0.4978, 0.6679)  5 V 2.46-2.62, 2 W 2.72-2.75
Cr (0.0000, 0.0000, 0.5000)  2 W 2.42
W (0.3263, 0.3263, 0.8269)  1 Cr 2.42, 1 W 2.57
W (0.6737, 0.6737, 0.1731)  1 Cr 2.42, 1 W 2.57

Values from the calculation:
Calculated total energy (eV per atom): -9.834
Space-group type: C2/m, No. 12
Energy relative to the lowest polymorph listed for this composition (meV per atom): 115
Volume (Å³/f.u.): 127
Crystal system: monoclinic

VASP calculation (PBE) on a geometry-optimized NaB3Rh6 structure.

abc: 5.9225 5.9225 5.9225
angles: 54.93 54.93 54.93
Last column: nearest neighbours and their distance in Å.
Fractional positions:
Na (0.0000, 0.0000, 0.0000)  9 Rh 2.64-2.94, 1 B 2.83
B (0.1880, 0.1880, 0.1880)  6 Rh 2.17-2.27
B (0.3909, 0.3909, 0.3909)  6 Rh 2.12-2.14
B (0.7269, 0.7269, 0.7269)  6 Rh 2.10-2.16
Rh (0.1409, 0.5153, 0.7650)  3 B 2.10-2.17
Rh (0.4362, 0.9613, 0.4902)  3 B 2.14-2.27
Rh (0.4902, 0.4362, 0.9613)  3 B 2.14-2.27
Rh (0.5153, 0.7650, 0.1409)  3 B 2.10-2.17
Rh (0.7650, 0.1409, 0.5153)  3 B 2.10-2.17
Rh (0.9613, 0.4902, 0.4362)  3 B 2.14-2.27

Values from the calculation:
Calculated total energy (eV per atom): -6.669
Space-group type: R3, No. 146
Volume (Å³/f.u.): 130
Crystal system: trigonal

VASP calculation (PBE) on a geometry-optimized Ho3BeSi2Pt9 structure.

abc: 6.4054 6.4054 7.9680
angles: 90.00 90.00 120.00
Last column: nearest neighbours and their distance in Å.
Fractional positions:
Ho (0.0000, 0.0000, 0.0000)  12 Pt 2.87-3.20
Ho (0.3333, 0.6667, 0.6718)  9 Pt 3.20-3.22
Ho (0.6667, 0.3333, 0.3282)  9 Pt 3.20-3.22
Be (0.0000, 0.0000, 0.5000)  6 Pt 2.24
Si (0.3333, 0.6667, 0.1987)  6 Pt 2.27-2.43
Si (0.6667, 0.3333, 0.8013)  6 Pt 2.27-2.43
Pt (0.0000, 0.5000, 0.0000)  2 Si 2.43
Pt (0.1428, 0.2855, 0.3008)  1 Be 2.24, 1 Si 2.27
Pt (0.1428, 0.8572, 0.3008)  1 Be 2.24, 1 Si 2.27
Pt (0.2855, 0.1428, 0.6992)  1 Be 2.24, 1 Si 2.27
Pt (0.5000, 0.0000, 0.0000)  2 Si 2.43
Pt (0.5000, 0.5000, 0.0000)  2 Si 2.43
Pt (0.7145, 0.8572, 0.3008)  1 Be 2.24, 1 Si 2.27
Pt (0.8572, 0.1428, 0.6992)  1 Be 2.24, 1 Si 2.27
Pt (0.8572, 0.7145, 0.6992)  1 Be 2.24, 1 Si 2.27

Values from the calculation:
Calculated total energy (eV per atom): -6.271
Space-group type: P-3m1, No. 164
Volume (Å³/f.u.): 283
Uncorrected formation energy (eV per atom): -0.759
Crystal system: trigonal

VASP calculation (PBE) on a geometry-optimized Ti7Zn2Ga2 structure.

abc: 5.6550 5.6550 6.6483
angles: 90.00 90.00 110.81
Last column: nearest neighbours and their distance in Å.
Fractional positions:
Ti (0.0000, 0.0000, 0.0000)  2 Ga 2.78
Ti (0.0000, 0.5000, 0.2955)  2 Ga 2.58, 3 Ti 2.72-2.83, 2 Zn 2.74
Ti (0.0000, 0.5000, 0.7045)  2 Ga 2.58, 3 Ti 2.72-2.83, 2 Zn 2.74
Ti (0.5000, 0.0000, 0.2955)  2 Ga 2.58, 3 Ti 2.72-2.83, 2 Zn 2.74
Ti (0.5000, 0.0000, 0.7045)  2 Ga 2.58, 3 Ti 2.72-2.83, 2 Zn 2.74
Ti (0.5000, 0.5000, 0.2762)  2 Zn 2.56, 2 Ga 2.62, 4 Ti 2.83
Ti (0.5000, 0.5000, 0.7238)  2 Zn 2.56, 2 Ga 2.62, 4 Ti 2.83
Zn (0.1756, 0.1756, 0.5000)  1 Zn 2.25
Zn (0.8244, 0.8244, 0.5000)  1 Zn 2.25
Ga (0.2990, 0.7010, 0.0000)  7 Ti 2.58-2.78
Ga (0.7010, 0.2990, 0.0000)  7 Ti 2.58-2.78

Values from the calculation:
Calculated total energy (eV per atom): -5.662
Space-group type: Cmmm, No. 65
Volume (Å³/f.u.): 199
Crystal system: orthorhombic

VASP calculation (PBE) on a geometry-optimized NaSrTl2Hg2 structure.

abc: 5.2404 5.2404 7.2464
angles: 90.00 90.00 120.00
Last column: nearest neighbours and their distance in Å.
Fractional positions:
Na (0.0000, 0.0000, 0.0000)  6 Tl 3.47, 6 Hg 3.53, 2 Sr 3.62
Sr (0.0000, 0.0000, 0.5000)  6 Hg 3.52, 6 Tl 3.59, 2 Na 3.62
Tl (0.3333, 0.6667, 0.2336)  3 Hg 3.03
Tl (0.6667, 0.3333, 0.7664)  3 Hg 3.03
Hg (0.3333, 0.6667, 0.7482)  3 Tl 3.03
Hg (0.6667, 0.3333, 0.2518)  3 Tl 3.03

Values from the calculation:
Calculated total energy (eV per atom): -1.660
Space-group type: P-3m1, No. 164
Volume (Å³/f.u.): 172
Crystal system: trigonal